First-principles (PBE-GGA) data for LiEuMg3 after structural relaxation, as listed in Alexandria via LeMat-Bulk.

Results
- ΔE_f: 0.07 eV per atom
- Total magnetization: 7.420 μB per formula unit
- Crystal system: cubic
- SG: Pm-3m, No. 221
- Mass density: 2.91 g/cm³

```
LiEuMg3
1.0
5.096 0.000 0.000
0.000 5.096 0.000
0.000 0.000 5.096
Li Eu Mg
1 1 3
direct
0.000 0.000 0.000 Li
0.500 0.500 0.500 Eu
0.000 0.000 0.500 Mg
0.000 0.500 0.000 Mg
0.500 0.000 0.000 Mg
```

First-principles (PBE-GGA) data for Ac3Mg6Pb5 after structural relaxation, as listed in Alexandria via LeMat-Bulk.

Results
- ΔE_f: -0.34 eV per atom
- Total magnetization: 0.000 μB per formula unit
- Crystal system: orthorhombic
- SG: Pmmn, No. 59
- Mass density: 7.55 g/cm³

```
Ac3Mg6Pb5
1.0
4.808 0.000 0.000
0.000 14.551 0.000
0.000 0.000 11.716
Ac Mg Pb
6 12 10
direct
0.250 0.077 0.250 Ac
0.250 0.423 0.250 Ac
0.250 0.750 0.238 Ac
0.750 0.250 0.762 Ac
0.750 0.577 0.750 Ac
0.750 0.923 0.750 Ac
0.250 0.079 0.893 Mg
0.250 0.250 0.028 Mg
0.250 0.250 0.489 Mg
0.250 0.421 0.893 Mg
0.250 0.592 0.506 Mg
0.250 0.908 0.506 Mg
0.750 0.092 0.494 Mg
0.750 0.408 0.494 Mg
0.750 0.579 0.107 Mg
0.750 0.750 0.511 Mg
0.750 0.750 0.972 Mg
0.750 0.921 0.107 Mg
0.250 0.086 0.645 Pb
0.250 0.414 0.645 Pb
0.250 0.617 0.970 Pb
0.250 0.750 0.683 Pb
0.250 0.883 0.970 Pb
0.750 0.117 0.030 Pb
0.750 0.250 0.317 Pb
0.750 0.383 0.030 Pb
0.750 0.586 0.355 Pb
0.750 0.914 0.355 Pb
```

First-principles (PBE-GGA) data for Th6Ge5Se after structural relaxation, as listed in Alexandria via LeMat-Bulk.

Results
- Total magnetization: 0.000 μB per formula unit
- Crystal system: monoclinic
- DFT total energy: -6.8711 eV per atom
- SG: C2/m, No. 12
- Mass density: 9.06 g/cm³

```
Th6Ge5Se
1.0
3.722 -6.444 0.000
3.722 6.444 0.000
-2.477 0.000 7.009
Th Ge Se
6 5 1
direct
0.078 0.415 0.746 Th
0.246 0.246 0.253 Th
0.415 0.078 0.746 Th
0.585 0.922 0.254 Th
0.754 0.754 0.747 Th
0.922 0.585 0.254 Th
0.000 0.000 0.500 Ge
0.167 0.833 0.000 Ge
0.335 0.665 0.500 Ge
0.665 0.335 0.500 Ge
0.833 0.167 0.000 Ge
0.500 0.500 0.000 Se
```

First-principles (PBE-GGA) data for Li2CaSn2Pd2 after structural relaxation, as listed in Alexandria via LeMat-Bulk.

Results
- ΔE_f: -0.48 eV per atom
- Total magnetization: 0.000 μB per formula unit
- Crystal system: monoclinic
- SG: C2/m, No. 12
- Mass density: 5.65 g/cm³

```
Li2CaSn2Pd2
1.0
3.967 -2.284 0.000
3.967 2.284 0.000
-2.744 0.000 8.179
Li Ca Sn Pd
2 1 2 2
direct
0.089 0.089 0.262 Li
0.911 0.911 0.738 Li
0.500 0.500 0.500 Ca
0.372 0.372 0.114 Sn
0.628 0.628 0.886 Sn
0.258 0.258 0.777 Pd
0.742 0.742 0.223 Pd
```

First-principles (PBE-GGA) data for MnRu2Pb after structural relaxation, as listed in Alexandria via LeMat-Bulk.

Results
- ΔE_f: 0.31 eV per atom
- Total magnetization: 3.312 μB per formula unit
- Crystal system: tetragonal
- SG: P4/mmm, No. 123
- Mass density: 12.03 g/cm³

```
MnRu2Pb
1.0
4.438 0.000 0.000
0.000 4.438 0.000
0.000 0.000 3.255
Mn Ru Pb
1 2 1
direct
0.000 0.000 0.000 Mn
0.000 0.500 0.500 Ru
0.500 0.000 0.500 Ru
0.500 0.500 0.000 Pb
```

First-principles (PBE-GGA) data for MnFe2Rh after structural relaxation, as listed in Alexandria via LeMat-Bulk.

Results
- ΔE_f: 0.11 eV per atom
- Total magnetization: 8.861 μB per formula unit
- Crystal system: tetragonal
- SG: I4/mmm, No. 139
- Mass density: 8.60 g/cm³

```
MnFe2Rh
1.0
-1.790 1.790 4.060
1.790 -1.790 4.060
1.790 1.790 -4.060
Mn Fe Rh
1 2 1
direct
0.000 0.000 0.000 Mn
0.250 0.750 0.500 Fe
0.750 0.250 0.500 Fe
0.500 0.500 0.000 Rh
```

First-principles (PBE-GGA) data for HgSbN2 after structural relaxation, as listed in Alexandria via LeMat-Bulk.

Results
- Total magnetization: 0.000 μB per formula unit
- Crystal system: triclinic
- DFT total energy: -5.1381 eV per atom
- SG: P-1, No. 2
- Mass density: 4.30 g/cm³

```
HgSbN2
1.0
3.030 0.000 0.000
0.067 6.057 0.000
1.512 0.001 14.750
Hg Sb N
2 2 4
direct
0.101 0.250 0.299 Hg
0.899 0.750 0.701 Hg
0.000 0.000 0.500 Sb
0.000 0.500 0.500 Sb
0.205 0.842 0.088 N
0.208 0.658 0.088 N
0.792 0.342 0.912 N
0.795 0.158 0.912 N
```

First-principles (PBE-GGA) data for Sm5Tm4 after structural relaxation, as listed in Alexandria via LeMat-Bulk.

Results
- ΔE_f: 0.02 eV per atom
- Total magnetization: 0.000 μB per formula unit
- Crystal system: tetragonal
- SG: I4/mmm, No. 139
- Mass density: 8.23 g/cm³

```
Sm5Tm4
1.0
-5.357 5.357 2.509
5.357 -5.357 2.509
5.357 5.357 -2.509
Sm Tm
5 4
direct
0.000 0.000 0.000 Sm
0.000 0.331 0.331 Sm
0.000 0.669 0.669 Sm
0.331 0.000 0.331 Sm
0.669 0.000 0.669 Sm
0.333 0.333 0.667 Tm
0.333 0.667 0.000 Tm
0.667 0.333 0.000 Tm
0.667 0.667 0.333 Tm
```